(P)
# TaBW | the Alexandria database | PBE-GGA | optimized geometry
# Total magnetization ... 0.0 μB per cell
data_TaBW
_symmetry_space_group_name_H-M 'C m c m'
_symmetry_Int_Tables_number 63
_symmetry_space_group_name_Hall '-C 2c 2'
_cell_length_a 3.2733
_cell_length_b 14.9979
_cell_length_c 3.1835
_cell_angle_alpha 90.00
_cell_angle_beta 90.00
_cell_angle_gamma 90.00
loop_
_atom_site_label
_atom_site_fract_x
_atom_site_fract_y
_atom_site_fract_z
Ta1 0.0000 0.0857 0.2500
B1 0.0000 0.4652 0.2500
W1 0.0000 0.2998 0.2500

(Q)
# TaBW | the Alexandria database | PBE-GGA | optimized geometry
# Total magnetization ... 0.0 μB per cell
data_TaBW
_symmetry_space_group_name_H-M 'F m m m'
_symmetry_Int_Tables_number 69
_symmetry_space_group_name_Hall '-F 2 2'
_cell_length_a 4.8855
_cell_length_b 7.9782
_cell_length_c 8.0470
_cell_angle_alpha 90.00
_cell_angle_beta 90.00
_cell_angle_gamma 90.00
loop_
_atom_site_label
_atom_site_fract_x
_atom_site_fract_y
_atom_site_fract_z
Ta1 0.0000 0.1713 0.0000
B1 0.2500 0.2500 0.2500
W1 0.0000 0.0000 0.3290

Most stable = (P)

(P)
# YTa3B | the Alexandria database | PBE-GGA | optimized geometry
# Total magnetization ... 0.0 μB per cell
data_YTa3B
_symmetry_space_group_name_H-M 'P m -3 m'
_symmetry_Int_Tables_number 221
_symmetry_space_group_name_Hall '-P 4 2 3'
_cell_length_a 4.8859
_cell_length_b 4.8859
_cell_length_c 4.8859
_cell_angle_alpha 90.00
_cell_angle_beta 90.00
_cell_angle_gamma 90.00
loop_
_atom_site_label
_atom_site_fract_x
_atom_site_fract_y
_atom_site_fract_z
Y1 0.0000 0.0000 0.0000
Ta1 0.0000 0.0000 0.5000
B1 0.5000 0.5000 0.5000

(Q)
# YTa3B | the Alexandria database | PBE-GGA | optimized geometry
# Total magnetization ... 0.0 μB per cell
data_YTa3B
_symmetry_space_group_name_H-M 'P m -3 m'
_symmetry_Int_Tables_number 221
_symmetry_space_group_name_Hall '-P 4 2 3'
_cell_length_a 4.5317
_cell_length_b 4.5317
_cell_length_c 4.5317
_cell_angle_alpha 90.00
_cell_angle_beta 90.00
_cell_angle_gamma 90.00
loop_
_atom_site_label
_atom_site_fract_x
_atom_site_fract_y
_atom_site_fract_z
Y1 0.0000 0.0000 0.0000
Ta1 0.0000 0.5000 0.5000
B1 0.5000 0.5000 0.5000

Most stable = (Q)

(P)
# YTaB2 | the Alexandria database | PBE-GGA | optimized geometry
# Total magnetization ... 0.0 μB per cell
data_YTaB2
_symmetry_space_group_name_H-M 'F m -3 m'
_symmetry_Int_Tables_number 225
_symmetry_space_group_name_Hall '-F 4 2 3'
_cell_length_a 6.0835
_cell_length_b 6.0835
_cell_length_c 6.0835
_cell_angle_alpha 90.00
_cell_angle_beta 90.00
_cell_angle_gamma 90.00
loop_
_atom_site_label
_atom_site_fract_x
_atom_site_fract_y
_atom_site_fract_z
Y1 0.0000 0.0000 0.0000
Ta1 0.0000 0.0000 0.5000
B1 0.2500 0.2500 0.2500

(Q)
# YTaB2 | the Alexandria database | PBE-GGA | optimized geometry
# Total magnetization ... 0.0 μB per cell
data_YTaB2
_symmetry_space_group_name_H-M 'I -4 2 d'
_symmetry_Int_Tables_number 122
_symmetry_space_group_name_Hall 'I -4 2bw'
_cell_length_a 5.1897
_cell_length_b 5.1897
_cell_length_c 11.4402
_cell_angle_alpha 90.00
_cell_angle_beta 90.00
_cell_angle_gamma 90.00
loop_
_atom_site_label
_atom_site_fract_x
_atom_site_fract_y
_atom_site_fract_z
Y1 0.0000 0.0000 0.0000
Ta1 0.0000 0.0000 0.5000
B1 0.1860 0.2500 0.6250

Most stable = (P)

(P)
# Zr3TaB | the Alexandria database | PBE-GGA | optimized geometry
# Total magnetization ... 0.0 μB per cell
data_Zr3TaB
_symmetry_space_group_name_H-M 'P m -3 m'
_symmetry_Int_Tables_number 221
_symmetry_space_group_name_Hall '-P 4 2 3'
_cell_length_a 4.6329
_cell_length_b 4.6329
_cell_length_c 4.6329
_cell_angle_alpha 90.00
_cell_angle_beta 90.00
_cell_angle_gamma 90.00
loop_
_atom_site_label
_atom_site_fract_x
_atom_site_fract_y
_atom_site_fract_z
Zr1 0.0000 0.0000 0.5000
Ta1 0.5000 0.5000 0.5000
B1 0.0000 0.0000 0.0000

(Q)
# Zr3TaB | the Alexandria database | PBE-GGA | optimized geometry
# Total magnetization ... 0.0 μB per cell
data_Zr3TaB
_symmetry_space_group_name_H-M 'P m -3 m'
_symmetry_Int_Tables_number 221
_symmetry_space_group_name_Hall '-P 4 2 3'
_cell_length_a 5.0686
_cell_length_b 5.0686
_cell_length_c 5.0686
_cell_angle_alpha 90.00
_cell_angle_beta 90.00
_cell_angle_gamma 90.00
loop_
_atom_site_label
_atom_site_fract_x
_atom_site_fract_y
_atom_site_fract_z
Zr1 0.0000 0.0000 0.5000
Ta1 0.0000 0.0000 0.0000
B1 0.5000 0.5000 0.5000

Most stable = (P)